(1)
{"formula": "Ta2MnS4", "functional": "PBE", "state": "relaxed", "vol_a3_per_atom": 17.795, "raw_formation_energy_ev_per_atom": 0.0820, "magnetic_moment_mub_per_cell": 0.99, "space_group": "I4/mmm (139)", "lattice_angstrom": [[-2.239, 2.239, 6.212], [2.239, -2.239, 6.212], [2.239, 2.239, -6.212]], "species": ["Ta", "Ta", "Mn", "S", "S", "S", "S"], "frac_coords": [[0.114, 0.114, 0.000], [0.886, 0.886, 0.000], [0.500, 0.500, 0.000], [0.000, 0.500, 0.500], [0.305, 0.305, 0.000], [0.500, 0.000, 0.500], [0.695, 0.695, 0.000]]}

***

(2)
{"formula": "TaMn3S", "functional": "PBE", "state": "relaxed", "relative_energy_kj_per_mol_fu": 0, "vol_a3_per_atom": 13.394, "raw_formation_energy_ev_per_atom": 0.2350, "magnetic_moment_mub_per_cell": 0.00, "space_group": "Pm-3m (221)", "lattice_angstrom": [[4.061, 0.000, 0.000], [0.000, 4.061, 0.000], [0.000, 0.000, 4.061]], "species": ["Ta", "Mn", "Mn", "Mn", "S"], "frac_coords": [[0.000, 0.000, 0.000], [0.000, 0.500, 0.500], [0.500, 0.000, 0.500], [0.500, 0.500, 0.000], [0.500, 0.500, 0.500]]}

***

(3)
{"formula": "Ta2MnS6", "functional": "PBE", "state": "relaxed", "vol_a3_per_atom": 19.722, "raw_formation_energy_ev_per_atom": -0.7526, "magnetic_moment_mub_per_cell": 6.17, "space_group": "P4_2/mnm (136)", "lattice_angstrom": [[5.880, 0.000, 0.000], [0.000, 5.880, 0.000], [0.000, 0.000, 10.268]], "species": ["Ta", "Ta", "Ta", "Ta", "Mn", "Mn", "S", "S", "S", "S", "S", "S", "S", "S", "S", "S", "S", "S"], "frac_coords": [[0.000, 0.000, 0.157], [0.000, 0.000, 0.843], [0.500, 0.500, 0.343], [0.500, 0.500, 0.657], [0.000, 0.000, 0.500], [0.500, 0.500, 0.000], [0.195, 0.195, 0.335], [0.195, 0.195, 0.665], [0.210, 0.210, 0.000], [0.290, 0.710, 0.500], [0.305, 0.695, 0.165], [0.305, 0.695, 0.835], [0.695, 0.305, 0.165], [0.695, 0.305, 0.835], [0.710, 0.290, 0.500], [0.790, 0.790, 0.000], [0.805, 0.805, 0.335], [0.805, 0.805, 0.665]]}

***

(4)
{"formula": "Ta4MnS8", "functional": "PBE", "state": "relaxed", "relative_energy_kj_per_mol_fu": 129, "vol_a3_per_atom": 18.756, "raw_formation_energy_ev_per_atom": -0.9647, "magnetic_moment_mub_per_cell": 3.84, "space_group": "C2/m (12)", "lattice_angstrom": [[5.858, -3.444, 0.000], [5.858, 3.444, 0.000], [-5.659, 0.000, 6.042]], "species": ["Ta", "Ta", "Ta", "Ta", "Mn", "S", "S", "S", "S", "S", "S", "S", "S"], "frac_coords": [[0.209, 0.791, 0.000], [0.232, 0.232, 0.994], [0.768, 0.768, 0.006], [0.791, 0.209, 0.000], [0.500, 0.500, 0.500], [0.037, 0.542, 0.254], [0.053, 0.053, 0.285], [0.458, 0.963, 0.746], [0.476, 0.476, 0.781], [0.524, 0.524, 0.219], [0.542, 0.037, 0.254], [0.947, 0.947, 0.715], [0.963, 0.458, 0.746]]}

***

(5)
{"formula": "Ta2MnS", "functional": "PBE", "state": "relaxed", "vol_a3_per_atom": 20.203, "raw_formation_energy_ev_per_atom": 0.6801, "magnetic_moment_mub_per_cell": 0.00, "space_group": "I-42d (122)", "lattice_angstrom": [[-2.499, 2.499, 6.472], [2.499, -2.499, 6.472], [2.499, 2.499, -6.472]], "species": ["Ta", "Ta", "Ta", "Ta", "Mn", "Mn", "S", "S"], "frac_coords": [[0.107, 0.625, 0.982], [0.375, 0.357, 0.482], [0.643, 0.125, 0.018], [0.875, 0.893, 0.518], [0.000, 0.000, 0.000], [0.750, 0.250, 0.500], [0.250, 0.750, 0.500], [0.500, 0.500, 0.000]]}

***

(6)
{"formula": "Ta3MnS", "functional": "PBE", "state": "relaxed", "relative_energy_kj_per_mol_fu": 133, "vol_a3_per_atom": 19.491, "raw_formation_energy_ev_per_atom": 0.9585, "magnetic_moment_mub_per_cell": 0.00, "space_group": "Pm-3m (221)", "lattice_angstrom": [[4.602, 0.000, 0.000], [0.000, 4.602, 0.000], [0.000, 0.000, 4.602]], "species": ["Ta", "Ta", "Ta", "Mn", "S"], "frac_coords": [[0.000, 0.000, 0.500], [0.000, 0.500, 0.000], [0.500, 0.000, 0.000], [0.000, 0.000, 0.000], [0.500, 0.500, 0.500]]}

***

(7)
{"formula": "TaMn2S", "functional": "PBE", "state": "relaxed", "vol_a3_per_atom": 14.631, "raw_formation_energy_ev_per_atom": 0.1041, "magnetic_moment_mub_per_cell": 8.96, "space_group": "I-42d (122)", "lattice_angstrom": [[-3.449, 3.449, 2.460], [3.449, -3.449, 2.460], [3.449, 3.449, -2.460]], "species": ["Ta", "Ta", "Mn", "Mn", "Mn", "Mn", "S", "S"], "frac_coords": [[0.000, 0.000, 0.000], [0.750, 0.250, 0.500], [0.199, 0.625, 0.074], [0.375, 0.449, 0.574], [0.551, 0.125, 0.926], [0.875, 0.801, 0.426], [0.250, 0.750, 0.500], [0.500, 0.500, 0.000]]}

***

(8)
{"formula": "TaMn2Tl3S6", "functional": "PBE", "state": "relaxed", "vol_a3_per_atom": 20.911, "raw_formation_energy_ev_per_atom": -0.5498, "magnetic_moment_mub_per_cell": 4.31, "space_group": "C2/m (12)", "lattice_angstrom": [[2.916, -5.052, 0.000], [2.916, 5.052, 0.000], [-1.936, 0.000, 8.518]], "species": ["Ta", "Mn", "Mn", "Tl", "Tl", "Tl", "S", "S", "S", "S", "S", "S"], "frac_coords": [[0.000, 0.000, 0.000], [0.334, 0.666, 0.000], [0.666, 0.334, 0.000], [0.168, 0.832, 0.500], [0.500, 0.500, 0.500], [0.832, 0.168, 0.500], [0.054, 0.404, 0.164], [0.295, 0.295, 0.836], [0.404, 0.054, 0.164], [0.596, 0.946, 0.836], [0.705, 0.705, 0.164], [0.946, 0.596, 0.836]]}